Crystalline LiGaSn at its relaxed geometry. Source: Alexandria via LeMat-Bulk, functional PBE.

a = 5.280 Å, b = 3.211 Å, c = 7.424 Å
α = 90.00°, β = 102.34°, γ = 90.00°
Fractional positions:
Li 0.000 0.000 0.000
Li 0.439 0.000 0.345
Ga 0.232 0.000 0.690
Ga 0.470 0.500 0.020
Sn 0.720 0.500 0.684
Sn 0.939 0.500 0.323

Computed properties:
ΔH_f (0 K) (eV per atom): -0.18
Size of the total moment (μB/cell): 0.00
Mass density (g/cm3): 5.28
D(E_F) (states/eV per cell): 1.95